## a
# CaCu2Br PBE optimized geometry
data_CaCu2Br
_cell_length_a 5.494
_cell_length_b 11.530
_cell_length_c 3.796
_cell_angle_alpha 90.00
_cell_angle_beta 133.38
_cell_angle_gamma 90.00
_symmetry_space_group_name_H-M 'C 1 2/m 1'
_symmetry_Int_Tables_number 12
_symmetry_space_group_name_Hall '-C 2y'
loop_
_atom_site_label
_atom_site_type_symbol
_atom_site_fract_x
_atom_site_fract_y
_atom_site_fract_z
_atom_site_occupancy
Ca1 Ca 0.000 0.000 0.000 1
Cu1 Cu 0.250 0.250 0.500 1
Br1 Br 0.000 0.500 0.000 1
# - magnetic moment (μB per formula unit) = 0.0

=====

## b
# CaCu2Br PBE optimized geometry
data_CaCu2Br
_cell_length_a 6.950
_cell_length_b 6.950
_cell_length_c 6.950
_cell_angle_alpha 90.00
_cell_angle_beta 90.00
_cell_angle_gamma 90.00
_symmetry_space_group_name_H-M 'F m -3 m'
_symmetry_Int_Tables_number 225
_symmetry_space_group_name_Hall '-F 4 2 3'
loop_
_atom_site_label
_atom_site_type_symbol
_atom_site_fract_x
_atom_site_fract_y
_atom_site_fract_z
_atom_site_occupancy
Ca1 Ca 0.000 0.000 0.000 1
Cu1 Cu 0.250 0.250 0.250 1
Br1 Br 0.000 0.000 0.500 1
# - magnetic moment (μB per formula unit) = 0.0

=====

Short version: a is the most stable of them.

=====

## a
# TlGaO2 PBE optimized geometry
data_TlGaO2
_cell_length_a 6.045
_cell_length_b 6.045
_cell_length_c 6.045
_cell_angle_alpha 90.00
_cell_angle_beta 90.00
_cell_angle_gamma 90.00
_symmetry_space_group_name_H-M 'F m -3 m'
_symmetry_Int_Tables_number 225
_symmetry_space_group_name_Hall '-F 4 2 3'
loop_
_atom_site_label
_atom_site_type_symbol
_atom_site_fract_x
_atom_site_fract_y
_atom_site_fract_z
_atom_site_occupancy
Tl1 Tl 0.000 0.000 0.000 1
Ga1 Ga 0.000 0.000 0.500 1
O1 O 0.250 0.250 0.250 1
# - magnetic moment (μB per formula unit) = 0.0

=====

## b
# TlGaO2 PBE optimized geometry
data_TlGaO2
_cell_length_a 3.079
_cell_length_b 3.926
_cell_length_c 10.442
_cell_angle_alpha 90.00
_cell_angle_beta 97.29
_cell_angle_gamma 90.00
_symmetry_space_group_name_H-M 'P 1 21/m 1'
_symmetry_Int_Tables_number 11
_symmetry_space_group_name_Hall '-P 2yb'
loop_
_atom_site_label
_atom_site_type_symbol
_atom_site_fract_x
_atom_site_fract_y
_atom_site_fract_z
_atom_site_occupancy
Tl1 Tl 0.064 0.250 0.341 1
Ga1 Ga 0.288 0.750 0.087 1
O1 O 0.163 0.250 0.789 1
O2 O 0.269 0.250 0.050 1
# - magnetic moment (μB per formula unit) = 0.0

=====

Short version: b is the most stable of them.